[1]
Here is a geometry-optimized K3Na3Cd2 structure from Alexandria. Energies are from PBE.

The space group is P-1 (No. 2) and the conventional cell measures 5.2554, 6.6374 and 10.5349 Å, with angles of 97.15, 104.11 and 90.17 degrees. The inequivalent atoms are K at (0.0000, 0.0000, 0.0000), K at (0.1647, 0.5818, 0.3291), Na at (0.3637, 0.8958, 0.7278), Na at (0.5000, 0.5000, 0.0000) and Cd at (0.2309, 0.0944, 0.4624).


[2]
Here is a geometry-optimized Nd2Y5Tm4 structure from Alexandria. Energies are from PBE.

The space group is P-1 (No. 2) and the conventional cell measures 3.5637, 8.7214 and 11.8064 Å, with angles of 75.70, 81.33 and 89.94 degrees. The inequivalent atoms are Nd at (0.0891, 0.2243, 0.3206), Y at (0.0000, 0.5000, 0.5000), Y at (0.2731, 0.6856, 0.9536), Y at (0.3630, 0.4070, 0.7738), Tm at (0.1821, 0.9534, 0.1357) and Tm at (0.4532, 0.1372, 0.5944).

Its energy above the lowest structure with this stoichiometry is 0.0 meV per atom.


[3]
Here is a geometry-optimized Er3Zn3Au structure from Alexandria. Energies are from PBE.

The space group is Imm2 (No. 44) and the conventional cell measures 3.6020, 4.4471 and 19.1704 Å, with angles of 90.00, 90.00 and 90.00 degrees. The inequivalent atoms are Er at (0.0000, 0.0000, 0.0000), Er at (0.0000, 0.0000, 0.3867), Er at (0.0000, 0.5000, 0.1968), Zn at (0.0000, 0.0000, 0.5533), Zn at (0.0000, 0.0000, 0.8396), Zn at (0.0000, 0.5000, 0.6241) and Au at (0.0000, 0.5000, 0.7596).


[4]
Here is a geometry-optimized BeSiCl structure from Alexandria. Energies are from PBE.

The space group is P1 (No. 1) and the conventional cell measures 3.5028, 5.9469 and 7.5285 Å, with angles of 111.73, 90.30 and 107.09 degrees. The inequivalent atoms are Be at (0.0000, 0.0000, 0.0000), Be at (0.2405, 0.4841, 0.7871), Si at (0.0290, 0.0608, 0.7017), Si at (0.4006, 0.8034, 0.6796), Cl at (0.5766, 0.1491, 0.1672) and Cl at (0.8102, 0.6175, 0.9832).

Its energy above the lowest structure with this stoichiometry is 0.7 meV per atom. Its uncorrected formation energy is -0.2714 eV/atom.


[5]
Here is a geometry-optimized DyZr4Sc15 structure from Alexandria. Energies are from PBE.

The space group is P4/mmm (No. 123) and the conventional cell measures 4.5775, 4.5775 and 23.0834 Å, with angles of 90.00, 90.00 and 90.00 degrees. The inequivalent atoms are Dy at (0.0000, 0.0000, 0.0000), Zr at (0.0000, 0.0000, 0.2027), Zr at (0.0000, 0.0000, 0.4017), Sc at (0.0000, 0.5000, 0.1073), Sc at (0.0000, 0.5000, 0.3036), Sc at (0.0000, 0.5000, 0.5000), Sc at (0.5000, 0.5000, 0.0000), Sc at (0.5000, 0.5000, 0.2041) and Sc at (0.5000, 0.5000, 0.4013).


[6]
Here is a geometry-optimized Cr2FeAgH structure from Alexandria. Energies are from PBE.

The space group is P4/mmm (No. 123) and the conventional cell measures 5.1213, 5.1213 and 3.1589 Å, with angles of 90.00, 90.00 and 90.00 degrees. The inequivalent atoms are Cr at (0.0000, 0.5000, 0.0000), Fe at (0.0000, 0.0000, 0.5000), Ag at (0.5000, 0.5000, 0.0000) and H at (0.5000, 0.5000, 0.5000).


[7]
Here is a geometry-optimized KNaZr2Ti structure from Alexandria. Energies are from PBE.

The space group is P4/mmm (No. 123) and the conventional cell measures 4.9847, 4.9847 and 6.5539 Å, with angles of 90.00, 90.00 and 90.00 degrees. The inequivalent atoms are K at (0.0000, 0.0000, 0.0000), Na at (0.5000, 0.5000, 0.0000), Zr at (0.0000, 0.5000, 0.5000) and Ti at (0.0000, 0.0000, 0.5000).


[8]
Here is a geometry-optimized Sm7Y4Er structure from Alexandria. Energies are from PBE.

The space group is P-1 (No. 2) and the conventional cell measures 6.2899, 7.2557 and 8.9461 Å, with angles of 89.98, 76.45 and 89.97 degrees. The inequivalent atoms are Sm at (0.0000, 0.0000, 0.0000), Sm at (0.2208, 0.4999, 0.3339), Sm at (0.2772, 0.7494, 0.6669), Sm at (0.5002, 0.2492, 0.0004), Y at (0.2218, 0.9998, 0.3344), Y at (0.2790, 0.2498, 0.6673) and Er at (0.0000, 0.5000, 0.0000).

Its energy above the lowest structure with this stoichiometry is 0.0 meV per atom.


[9]
Here is a geometry-optimized Nd6SmDy2 structure from Alexandria. Energies are from PBE.

The space group is Ibam (No. 72) and the conventional cell measures 5.7795, 9.9466 and 21.3181 Å, with angles of 90.00, 90.00 and 90.00 degrees. The inequivalent atoms are Nd at (0.0000, 0.0000, 0.0810), Nd at (0.0047, 0.3332, 0.1652), Sm at (0.0000, 0.0000, 0.2500) and Dy at (0.0040, 0.3328, 0.5000).

Its energy above the lowest structure with this stoichiometry is 0.0 meV per atom.


[10]
Here is a geometry-optimized VBiSN2 structure from Alexandria. Energies are from PBE.

The space group is P4/mmm (No. 123) and the conventional cell measures 3.9058, 3.9058 and 4.8118 Å, with angles of 90.00, 90.00 and 90.00 degrees. The inequivalent atoms are V at (0.0000, 0.0000, 0.0000), Bi at (0.5000, 0.5000, 0.5000), S at (0.0000, 0.0000, 0.5000) and N at (0.0000, 0.5000, 0.0000).

Its energy above the lowest structure with this stoichiometry is 0.0 meV per atom. Its uncorrected formation energy is 0.2343 eV/atom.


[11]
Here is a geometry-optimized TiB2PtS structure from Alexandria. Energies are from PBE.

The space group is P4/mmm (No. 123) and the conventional cell measures 4.1751, 4.1751 and 4.8797 Å, with angles of 90.00, 90.00 and 90.00 degrees. The inequivalent atoms are Ti at (0.0000, 0.0000, 0.0000), B at (0.0000, 0.5000, 0.0000), Pt at (0.0000, 0.0000, 0.5000) and S at (0.5000, 0.5000, 0.5000).

Its uncorrected formation energy is 1.5439 eV/atom.


[12]
Here is a geometry-optimized Li2FePbCl6 structure from Alexandria. Energies are from PBE.

The space group is R3 (No. 146, hexagonal axes) and the conventional cell measures 6.6181, 6.6181 and 18.2024 Å, with angles of 90.00, 90.00 and 120.00 degrees. The inequivalent atoms are Li at (0.0000, 0.0000, 0.0000), Li at (0.0000, 0.0000, 0.4897), Fe at (0.0000, 0.0000, 0.6895), Pb at (0.0000, 0.0000, 0.1983), Cl at (0.0006, 0.3258, 0.7577) and Cl at (0.0223, 0.6258, 0.2682).

Its uncorrected formation energy is -1.2302 eV/atom.


[13]
Here is a geometry-optimized Pu4Tc2Ru structure from Alexandria. Energies are from PBE.

The space group is Pbam (No. 55) and the conventional cell measures 7.0111, 12.1089 and 3.1861 Å, with angles of 90.00, 90.00 and 90.00 degrees. The inequivalent atoms are Pu at (0.0185, 0.1905, 0.0000), Pu at (0.0493, 0.3525, 0.5000), Tc at (0.1961, 0.5180, 0.0000) and Ru at (0.0000, 0.0000, 0.5000).


[14]
Here is a geometry-optimized BePt2Rh structure from Alexandria. Energies are from PBE.

The space group is I4/mmm (No. 139) and the conventional cell measures 3.8341, 3.8341 and 7.5470 Å, with angles of 90.00, 90.00 and 90.00 degrees. The inequivalent atoms are Be at (0.0000, 0.0000, 0.0000), Pt at (0.0000, 0.5000, 0.2500) and Rh at (0.0000, 0.0000, 0.5000).


[15]
Here is a geometry-optimized MnZnNiAs structure from Alexandria. Energies are from PBE.

The space group is Cm (No. 8) and the conventional cell measures 8.8259, 3.0104 and 4.2096 Å, with angles of 90.00, 105.57 and 90.00 degrees. The inequivalent atoms are Mn at (0.0000, 0.0000, 0.0000), Zn at (0.0000, 0.5000, 0.4950), Ni at (0.2594, 0.5000, 0.3708) and As at (0.2617, 0.0000, 0.8804).

Its energy above the lowest structure with this stoichiometry is 40.5 meV per atom.


[16]
Here is a geometry-optimized BaLa2Tl structure from Alexandria. Energies are from PBE.

The space group is Pmmm (No. 47) and the conventional cell measures 3.9786, 6.0548 and 6.0833 Å, with angles of 90.00, 90.00 and 90.00 degrees. The inequivalent atoms are Ba at (0.0000, 0.0000, 0.0000), La at (0.0000, 0.5000, 0.5000), La at (0.5000, 0.0000, 0.5000) and Tl at (0.5000, 0.5000, 0.0000).

Its energy above the lowest structure with this stoichiometry is 109.5 meV per atom.


[17]
Here is a geometry-optimized NaTa2HS structure from Alexandria. Energies are from PBE.

The space group is P4/mmm (No. 123) and the conventional cell measures 4.7666, 4.7666 and 4.5411 Å, with angles of 90.00, 90.00 and 90.00 degrees. The inequivalent atoms are Na at (0.0000, 0.0000, 0.0000), Ta at (0.0000, 0.5000, 0.0000), H at (0.5000, 0.5000, 0.5000) and S at (0.0000, 0.0000, 0.5000).


[18]
Here is a geometry-optimized LaMnZn2 structure from Alexandria. Energies are from PBE.

The space group is P2/m (No. 10) and the conventional cell measures 3.4776, 4.5383 and 5.4285 Å, with angles of 90.00, 106.83 and 90.00 degrees. The inequivalent atoms are La at (0.0000, 0.0000, 0.0000), Mn at (0.5000, 0.0000, 0.5000) and Zn at (0.3404, 0.5000, 0.6914).


[19]
Here is a geometry-optimized Be4Cu structure from Alexandria. Energies are from PBE.

The space group is Pm-3m (No. 221) and the conventional cell measures 3.9672, 3.9672 and 3.9672 Å, with angles of 90.00, 90.00 and 90.00 degrees. The inequivalent atoms are Be at (0.0000, 0.0000, 0.0000), Be at (0.0000, 0.5000, 0.5000) and Cu at (0.5000, 0.5000, 0.5000).

Its energy above the lowest structure with this stoichiometry is 920.6 meV per atom.


[20]
Here is a geometry-optimized InNi2Ge structure from Alexandria. Energies are from PBE.

The space group is R-3m (No. 166, hexagonal axes) and the conventional cell measures 4.0678, 4.0678 and 12.9335 Å, with angles of 90.00, 90.00 and 120.00 degrees. The inequivalent atoms are In at (0.0000, 0.0000, 0.0000), Ni at (0.0000, 0.0000, 0.2090) and Ge at (0.0000, 0.0000, 0.5000).


| no. | VASP energy (eV/atom) |
| --- | --- |
| 1 | -1.156 |
| 2 | -5.406 |
| 3 | -3.421 |
| 4 | -3.937 |
| 5 | -6.655 |
| 6 | -5.509 |
| 7 | -4.520 |
| 8 | -5.286 |
| 9 | -4.669 |
| 10 | -6.521 |
| 11 | -4.740 |
| 12 | -3.938 |
| 13 | -12.324 |
| 14 | -5.992 |
| 15 | -5.241 |
| 16 | -3.574 |
| 17 | -3.835 |
| 18 | -4.063 |
| 19 | -2.903 |
| 20 | -4.848 |